Version i
# AgBTe2N

A geometry-optimized AgBTe2N structure (PBE, Alexandria).

Structure (POSCAR):
```
AgBTe2N
1.0
5.5877 0.0000 0.0000
0.0000 5.5877 0.0000
0.0000 0.0000 3.8893
Ag B Te N
1 1 2 1
Cartesian
0.0000 0.0000 0.0000 Ag
2.7938 2.7938 1.9447 B
0.0000 2.7938 0.0000 Te
2.7938 0.0000 0.0000 Te
0.0000 0.0000 1.9447 N
```

- symmetry = No. 123
- D(E_F) (states/eV/cell) = 4.0



Version ii
# AgBTe2N

A geometry-optimized AgBTe2N structure (PBE, Alexandria).

Structure (POSCAR):
```
AgBTe2N
1.0
6.3130 0.0000 0.0000
0.0000 6.3130 0.0000
0.0000 0.0000 2.7364
Ag B Te N
1 1 2 1
Cartesian
0.0000 0.0000 0.0000 Ag
3.1565 3.1565 1.3682 B
0.0000 3.1565 1.3682 Te
3.1565 0.0000 1.3682 Te
3.1565 3.1565 0.0000 N
```

- symmetry = No. 123
- D(E_F) (states/eV/cell) = 2.5



Of them, the most stable is version ii and the least stable is version i.



Version i
# AgBTeN2

A geometry-optimized AgBTeN2 structure (PBE, Alexandria).

Structure (POSCAR):
```
AgBTeN2
1.0
3.5898 0.0000 0.0000
0.0000 3.5898 0.0000
0.0000 0.0000 5.7109
Ag B Te N
1 1 1 2
Cartesian
0.0000 0.0000 0.0000 Ag
1.7949 1.7949 2.8554 B
1.7949 1.7949 0.0000 Te
0.0000 1.7949 2.8554 N
1.7949 0.0000 2.8554 N
```

- symmetry = No. 123
- D(E_F) (states/eV/cell) = 3.2



Version ii
# AgBTeN2

A geometry-optimized AgBTeN2 structure (PBE, Alexandria).

Structure (POSCAR):
```
AgBTeN2
1.0
3.8911 0.0000 0.0000
0.0000 3.8911 0.0000
0.0000 0.0000 8.0983
Ag B Te N
1 1 1 2
Cartesian
0.0000 0.0000 0.0000 Ag
1.9455 1.9455 4.0491 B
0.0000 0.0000 4.0491 Te
0.0000 1.9455 0.0000 N
1.9455 0.0000 0.0000 N
```

- symmetry = No. 123
- D(E_F) (states/eV/cell) = 1.5



Of them, the most stable is version i and the least stable is version ii.